Record 1
{
  "formula": "PuHg2O5",
  "functional": "PBE",
  "state": "relaxed",
  "cell": [[6.058, -2.650, 0.000], [6.058, 2.650, 0.000], [-2.836, 0.000, 7.967]],
  "species": ["Pu", "Pu", "Hg", "Hg", "Hg", "Hg", "O", "O", "O", "O", "O", "O", "O", "O", "O", "O"],
  "fractional_positions": [[0.000, 0.000, 0.000], [0.000, 0.000, 0.500], [0.278, 0.396, 0.697], [0.396, 0.278, 0.197], [0.604, 0.722, 0.803], [0.722, 0.604, 0.303], [0.031, 0.653, 0.360], [0.177, 0.647, 0.040], [0.203, 0.797, 0.750], [0.347, 0.969, 0.140], [0.353, 0.823, 0.460], [0.647, 0.177, 0.540], [0.653, 0.031, 0.860], [0.797, 0.203, 0.250], [0.823, 0.353, 0.960], [0.969, 0.347, 0.640]],
  "e_form_raw_ev_per_atom": -1.33,
  "space_group": "No. 15"
}

***

Record 2
{
  "formula": "Rb2Ag2Hg",
  "functional": "PBE",
  "state": "relaxed",
  "cell": [[5.783, -3.469, 0.000], [5.783, 3.469, 0.000], [-1.772, 0.000, 8.706]],
  "species": ["Rb", "Rb", "Rb", "Rb", "Ag", "Ag", "Ag", "Ag", "Hg", "Hg"],
  "fractional_positions": [[0.002, 0.290, 0.137], [0.290, 0.002, 0.637], [0.710, 0.998, 0.363], [0.998, 0.710, 0.863], [0.209, 0.507, 0.491], [0.493, 0.791, 0.009], [0.507, 0.209, 0.991], [0.791, 0.493, 0.509], [0.405, 0.595, 0.250], [0.595, 0.405, 0.750]],
  "formation_enthalpy_0k_mev_per_atom": -24,
  "de_polymorph_mev_per_atom": 0,
  "space_group": "No. 15"
}

***

no.,electronic total energy (eV/atom)
1,-6.2978
2,-1.6118